Entry 1:
ScInNi2 | GGA-PBE | relaxed

a = 3.2968 Å, b = 3.2968 Å, c = 5.9606 Å
α = 90.00°, β = 90.00°, γ = 90.00°
Element x y z (fractional)
Ni1 0.5000 0.5000 0.2416
In1 0.5000 0.5000 0.7955
Sc1 0.0000 0.0000 0.4456
Ni2 0.0000 0.0000 0.0173

Raw total energy in eV for the cell shown: -21.7
N(E_F) in states/eV per atom: 0.4449
ΔH_f (0 K) in eV/atom: -0.257



Entry 2:
ScIn2Ni2 | GGA-PBE | relaxed

a = 4.2269 Å, b = 4.2269 Å, c = 6.0322 Å
α = 69.49°, β = 69.49°, γ = 90.00°
Element x y z (fractional)
Sc1 0.0000 0.0000 0.0000
Ni1 0.6056 0.6056 0.7888
In1 0.2500 0.7500 0.5000
In2 0.7500 0.2500 0.5000
Ni2 0.3944 0.3944 0.2112

Raw total energy in eV for the cell shown: -24.0
Offset from the most stable computed form in meV/atom: 236.9
N(E_F) in states/eV per atom: 0.7967
ΔH_f (0 K) in eV/atom: -0.123



> The lowest N(E_F) belongs to which entry?

ScInNi2